(1)
The following is a DFT calculation (PBE) of a geometry-optimized SrLi2Os structure.

Results
E above lowest polymorph (meV/atom): 16
Total magnetic moment (μB per formula unit): 0.00
E_form (eV/atom): 0.51
Crystal system: monoclinic

POSCAR file:
```
SrLi2Os
1.0
2.7484 0.0000 0.0000
0.0000 4.3537 0.0000
-1.1507 0.0000 7.0292
Sr Li Os
1 2 1
Cartesian
0.0000 0.0000 0.0000
1.3768 2.1768 2.7693
1.8317 0.0000 4.0813
0.2491 2.1768 5.1740
```



(2)
The following is a DFT calculation (PBE) of a geometry-optimized TbHoTlAu structure.

Results
E above lowest polymorph (meV/atom): 44
Total magnetic moment (μB per formula unit): 0.00
E_form (eV/atom): -0.56
Crystal system: cubic

POSCAR file:
```
TbHoTlAu
1.0
7.4114 0.0000 0.0000
0.0000 7.4114 0.0000
0.0000 0.0000 7.4114
Tb Ho Tl Au
4 4 4 4
Cartesian
0.0000 0.0000 0.0000
0.0000 3.7057 3.7057
3.7057 0.0000 3.7057
3.7057 3.7057 0.0000
0.0000 0.0000 3.7057
0.0000 3.7057 0.0000
3.7057 0.0000 0.0000
3.7057 3.7057 3.7057
1.8529 1.8529 5.5586
1.8529 5.5586 1.8529
5.5586 1.8529 1.8529
5.5586 5.5586 5.5586
1.8529 1.8529 1.8529
1.8529 5.5586 5.5586
5.5586 1.8529 5.5586
5.5586 5.5586 1.8529
```



(3)
The following is a DFT calculation (PBE) of a geometry-optimized SrTeOs2 structure.

Results
E above lowest polymorph (meV/atom): 746
Total magnetic moment (μB per formula unit): 0.00
Formation energy without anion corrections (eV/atom): 0.85
Crystal system: tetragonal

POSCAR file:
```
SrTeOs2
1.0
3.2506 0.0000 0.0000
0.0000 3.2506 0.0000
0.0000 0.0000 7.7447
Sr Te Os
1 1 2
Cartesian
0.0000 0.0000 0.0000
0.0000 0.0000 3.8724
1.6253 1.6253 2.3638
1.6253 1.6253 5.3809
```



(4)
The following is a DFT calculation (PBE) of a geometry-optimized SrCoCl structure.

Results
Total magnetic moment (μB per formula unit): 1.16
Formation energy without anion corrections (eV/atom): -0.77
Crystal system: orthorhombic

POSCAR file:
```
SrCoCl
1.0
4.0513 0.0000 0.0000
0.0000 8.2723 0.0000
0.0000 0.0000 8.5600
Sr Co Cl
4 4 4
Cartesian
0.0000 0.0000 0.0000
0.0000 4.1362 0.0000
2.0256 0.0000 4.2800
2.0256 4.1362 4.2800
0.0000 2.0681 2.6287
0.0000 6.2043 5.9314
2.0256 2.0681 1.6514
2.0256 6.2043 6.9087
0.0000 2.0681 5.0860
0.0000 6.2043 3.4740
2.0256 2.0681 7.7540
2.0256 6.2043 0.8060
```



(5)
The following is a DFT calculation (PBE) of a geometry-optimized Al2CrCd structure.

Results
Total magnetic moment (μB per formula unit): 3.76
E_form (eV/atom): 0.29
Crystal system: cubic

POSCAR file:
```
Al2CrCd
1.0
6.5373 0.0000 0.0000
0.0000 6.5373 0.0000
0.0000 0.0000 6.5373
Al Cr Cd
8 4 4
Cartesian
0.0000 0.0000 0.0000
0.0000 3.2686 3.2686
1.6343 1.6343 1.6343
1.6343 4.9030 4.9030
3.2686 0.0000 3.2686
3.2686 3.2686 0.0000
4.9030 1.6343 4.9030
4.9030 4.9030 1.6343
0.0000 0.0000 3.2686
0.0000 3.2686 0.0000
3.2686 0.0000 0.0000
3.2686 3.2686 3.2686
1.6343 1.6343 4.9030
1.6343 4.9030 1.6343
4.9030 1.6343 1.6343
4.9030 4.9030 4.9030
```



(6)
The following is a DFT calculation (PBE) of a geometry-optimized BaHfZrHg2 structure.

Results
Total magnetic moment (μB per formula unit): 1.58
E_form (eV/atom): 1.07
Crystal system: tetragonal

POSCAR file:
```
BaHfZrHg2
1.0
5.4385 0.0000 0.0000
0.0000 5.4385 0.0000
0.0000 0.0000 5.7758
Ba Hf Zr Hg
1 1 1 2
Cartesian
0.0000 0.0000 0.0000
0.0000 0.0000 2.8879
2.7193 2.7193 0.0000
0.0000 2.7193 2.8879
2.7193 0.0000 2.8879
```



(7)
The following is a DFT calculation (PBE) of a geometry-optimized Pr2ScAu2 structure.

Results
E above lowest polymorph (meV/atom): 0
Total magnetic moment (μB per formula unit): 0.00
E_form (eV/atom): -0.62
Crystal system: monoclinic

POSCAR file:
```
Pr2ScAu2
1.0
6.0920 -2.3192 0.0000
6.0920 2.3192 0.0000
-5.8932 0.0000 9.3527
Pr Sc Au
4 2 4
Cartesian
-0.7341 0.0000 1.7177
-1.3248 0.0000 5.5790
7.6155 0.0000 3.7738
7.0248 0.0000 7.6350
2.7558 0.0000 1.2781
3.5349 0.0000 8.0747
-1.1149 0.0000 8.7269
2.0462 0.0000 5.7231
4.2444 0.0000 3.6297
7.4056 0.0000 0.6258
```



(8)
The following is a DFT calculation (PBE) of a geometry-optimized BeTl2Au structure.

Results
E above lowest polymorph (meV/atom): 345
Total magnetic moment (μB per formula unit): 0.00
E_form (eV/atom): 0.44
Crystal system: monoclinic

POSCAR file:
```
BeTl2Au
1.0
7.8334 0.0000 0.0000
0.0000 3.5987 0.0000
-1.9020 0.0000 6.3573
Be Tl Au
2 4 2
Cartesian
0.0000 0.0000 0.0000
3.9167 1.7993 0.0000
1.4362 1.7993 1.4147
0.5785 0.0000 4.9426
5.3529 0.0000 1.4147
4.4953 1.7993 4.9426
-0.9510 1.7993 3.1787
2.9657 0.0000 3.1787
```



(9)
The following is a DFT calculation (PBE) of a geometry-optimized Tb5Ho2Tl structure.

Results
E above lowest polymorph (meV/atom): 0
Total magnetic moment (μB per formula unit): 0.00
E_form (eV/atom): -0.06
Crystal system: orthorhombic

POSCAR file:
```
Tb5Ho2Tl
1.0
9.5416 0.0000 0.0000
0.0000 14.4657 0.0000
0.0000 0.0000 3.5513
Tb Ho Tl
10 4 2
Cartesian
0.0000 0.0000 0.0000
2.2253 5.4465 1.7757
2.2253 9.0192 1.7757
2.5455 1.7863 1.7757
2.5455 12.6794 1.7757
4.7708 7.2329 0.0000
6.9961 1.7863 1.7757
6.9961 12.6794 1.7757
7.3163 5.4465 1.7757
7.3163 9.0192 1.7757
0.0000 3.3509 0.0000
0.0000 11.1148 0.0000
4.7708 3.8819 0.0000
4.7708 10.5838 0.0000
0.0000 7.2329 0.0000
4.7708 0.0000 0.0000
```



(10)
The following is a DFT calculation (PBE) of a geometry-optimized Pa2CuWN6 structure.

Results
Total magnetic moment (μB per formula unit): 0.43
Formation energy without anion corrections (eV/atom): -0.60
Crystal system: tetragonal

POSCAR file:
```
Pa2CuWN6
1.0
5.2393 0.0000 0.0000
0.0000 5.2393 0.0000
0.0000 0.0000 4.9131
Pa Cu W N
2 1 1 6
Cartesian
0.0000 2.6196 0.0000
2.6196 0.0000 0.0000
0.0000 0.0000 2.8397
2.6196 2.6196 2.8852
0.0000 0.0000 0.8558
1.3382 1.3382 3.6313
1.3382 3.9011 3.6313
2.6196 2.6196 1.0133
3.9011 1.3382 3.6313
3.9011 3.9011 3.6313
```



(11)
The following is a DFT calculation (PBE) of a geometry-optimized CrCoI3 structure.

Results
E above lowest polymorph (meV/atom): 0
Total magnetic moment (μB per formula unit): 6.00
Formation energy without anion corrections (eV/atom): 0.55
Crystal system: cubic

POSCAR file:
```
CrCoI3
1.0
5.3364 0.0000 0.0000
0.0000 5.3364 0.0000
0.0000 0.0000 5.3364
Cr Co I
1 1 3
Cartesian
0.0000 0.0000 0.0000
2.6682 2.6682 2.6682
0.0000 2.6682 2.6682
2.6682 0.0000 2.6682
2.6682 2.6682 0.0000
```



(12)
The following is a DFT calculation (PBE) of a geometry-optimized CsAc2Ce2O7 structure.

Results
Total magnetic moment (μB per formula unit): 0.99
Formation energy without anion corrections (eV/atom): -2.97
Crystal system: orthorhombic

POSCAR file:
```
CsAc2Ce2O7
1.0
-2.1058 9.5390 3.4890
2.1058 -9.5390 3.4890
2.1058 9.5390 -3.4890
Cs Ac Ce O
1 2 2 7
Cartesian
0.0000 0.0000 0.0000
2.1058 4.3041 0.6409
0.0000 5.2349 4.1299
0.0000 7.5026 0.1037
0.0000 11.5754 0.1037
2.1058 -2.0493 1.4747
2.1058 -4.5391 3.1148
2.1058 2.0493 1.4747
2.1058 6.8101 0.7793
0.0000 9.5390 0.8590
2.1058 4.5391 3.1148
0.0000 2.7290 4.2683
```



(13)
The following is a DFT calculation (PBE) of a geometry-optimized CrRhBr2 structure.

Results
E above lowest polymorph (meV/atom): 20
Total magnetic moment (μB per formula unit): 3.02
Formation energy without anion corrections (eV/atom): -0.05
Crystal system: trigonal

POSCAR file:
```
CrRhBr2
1.0
3.9056 0.0000 0.0000
-1.9528 3.3824 0.0000
0.0000 0.0000 22.0103
Cr Rh Br
3 3 6
Cartesian
0.0000 0.0000 0.0000
0.0000 2.2549 14.6735
1.9528 1.1275 7.3368
0.0000 0.0000 6.2958
0.0000 2.2549 20.9694
1.9528 1.1275 13.6326
0.0000 0.0000 12.3178
0.0000 0.0000 16.1182
0.0000 2.2549 4.9810
0.0000 2.2549 8.7814
1.9528 1.1275 1.4447
1.9528 1.1275 19.6545
```



(14)
The following is a DFT calculation (PBE) of a geometry-optimized Er4CuPd3 structure.

Results
Total magnetic moment (μB per formula unit): 0.00
E_form (eV/atom): -0.79
Crystal system: orthorhombic

POSCAR file:
```
Er4CuPd3
1.0
3.6892 0.0000 0.0000
0.0000 4.5359 0.0000
0.0000 0.0000 10.4081
Er Cu Pd
4 1 3
Cartesian
0.0000 0.0000 0.0000
0.0000 2.2679 2.8754
1.8446 0.0000 5.1924
1.8446 2.2679 8.0763
0.0000 0.0000 7.4548
0.0000 2.2679 5.8223
1.8446 0.0000 2.3400
1.8446 2.2679 0.5167
```



(15)
The following is a DFT calculation (PBE) of a geometry-optimized TiTc2AsBr structure.

Results
Total magnetic moment (μB per formula unit): 2.59
Formation energy without anion corrections (eV/atom): 1.25
Crystal system: tetragonal

POSCAR file:
```
TiTc2AsBr
1.0
4.6576 0.0000 0.0000
0.0000 4.6576 0.0000
0.0000 0.0000 4.6927
Ti Tc As Br
1 2 1 1
Cartesian
0.0000 0.0000 0.0000
0.0000 2.3288 0.0000
2.3288 0.0000 0.0000
2.3288 2.3288 2.3463
0.0000 0.0000 2.3463
```



(16)
The following is a DFT calculation (PBE) of a geometry-optimized NaSn2Te4Pb structure.

Results
Total magnetic moment (μB per formula unit): 0.00
Formation energy without anion corrections (eV/atom): -0.41
Crystal system: monoclinic

POSCAR file:
```
NaSn2Te4Pb
1.0
7.7623 0.0000 0.0000
0.0000 4.4320 0.0000
-2.5330 0.0000 7.5905
Na Sn Te Pb
1 2 4 1
Cartesian
0.0000 0.0000 0.0000
-1.2665 2.2160 3.7953
2.6146 0.0000 3.7953
0.0266 0.0000 5.6139
1.3086 2.2160 1.9920
3.9207 2.2160 5.5985
5.2027 0.0000 1.9766
3.8812 2.2160 0.0000
```



(17)
The following is a DFT calculation (PBE) of a geometry-optimized CsPmF structure.

Results
Total magnetic moment (μB per formula unit): 0.16
Formation energy without anion corrections (eV/atom): -1.26
Crystal system: orthorhombic

POSCAR file:
```
CsPmF
1.0
14.8520 0.0000 0.0000
0.0000 3.8901 0.0000
0.0000 0.0000 6.7246
Cs Pm F
4 4 4
Cartesian
1.9426 0.0000 0.0000
1.9426 1.9450 3.3623
12.9094 0.0000 0.0000
12.9094 1.9450 3.3623
5.8145 0.0000 2.2706
5.8145 1.9450 5.6329
9.0376 0.0000 2.2706
9.0376 1.9450 5.6329
0.0000 0.0000 2.2451
0.0000 1.9450 5.6074
7.4260 0.0000 0.0394
7.4260 1.9450 3.4017
```



(18)
The following is a DFT calculation (PBE) of a geometry-optimized Cu2HgPOs structure.

Results
Total magnetic moment (μB per formula unit): 2.41
E_form (eV/atom): 1.97
Crystal system: tetragonal

POSCAR file:
```
Cu2HgPOs
1.0
4.6090 0.0000 0.0000
0.0000 4.6090 0.0000
0.0000 0.0000 4.6615
Cu Hg P Os
2 1 1 1
Cartesian
0.0000 2.3045 0.0000
2.3045 0.0000 0.0000
0.0000 0.0000 0.0000
0.0000 0.0000 2.3307
2.3045 2.3045 2.3307
```



(19)
The following is a DFT calculation (PBE) of a geometry-optimized Ce2DyHoN4 structure.

Results
Total magnetic moment (μB per formula unit): 0.53
Formation energy without anion corrections (eV/atom): -1.60
Crystal system: monoclinic

POSCAR file:
```
Ce2DyHoN4
1.0
6.0849 0.0000 0.0000
0.0000 3.5136 0.0000
-2.0284 0.0000 5.7448
Ce Dy Ho N
2 1 1 4
Cartesian
0.0000 0.0000 0.0000
3.0424 1.7568 0.0000
-1.0142 1.7568 2.8724
2.0282 0.0000 2.8724
0.0055 0.0000 4.2949
1.0200 1.7568 1.4540
3.0364 1.7568 4.2908
4.0509 0.0000 1.4498
```



(20)
The following is a DFT calculation (PBE) of a geometry-optimized La16Y6Er7 structure.

Results
Total magnetic moment (μB per formula unit): 0.00
E_form (eV/atom): 0.18
Crystal system: cubic

POSCAR file:
```
La16Y6Er7
1.0
0.0000 8.0999 8.0999
8.0999 0.0000 8.0999
8.0999 8.0999 0.0000
La Y Er
16 6 7
Cartesian
10.5176 5.6822 5.6822
2.0216 2.0216 2.0216
6.0783 6.0783 2.0216
6.0783 2.0216 6.0783
5.6822 5.6822 5.6822
10.5176 10.5176 5.6822
10.5176 5.6822 10.5176
14.1782 10.1215 10.1215
2.0216 6.0783 6.0783
5.6822 10.5176 5.6822
5.6822 5.6822 10.5176
10.5176 10.5176 10.5176
10.1215 14.1782 10.1215
10.1215 10.1215 14.1782
14.1782 14.1782 14.1782
5.6822 10.5176 10.5176
8.0999 8.0999 4.2668
8.0999 4.2668 8.0999
11.9330 8.0999 8.0999
4.2668 8.0999 8.0999
8.0999 11.9330 8.0999
8.0999 8.0999 11.9330
0.0000 0.0000 0.0000
4.0499 4.0499 0.0000
4.0499 0.0000 4.0499
8.0999 4.0499 4.0499
0.0000 4.0499 4.0499
4.0499 8.0999 4.0499
4.0499 4.0499 8.0999
```